Entry 1:
First-principles (GGA+U) data for an optimized crystal structure of CsMoO3, as listed in the Alexandria database.

a b c (Å): 3.628 3.628 15.622
angles (deg): 90.00 90.00 120.00
Element x y z (fractional)
Cs 0.000 0.000 0.000
Cs 0.000 0.000 0.500
Mo 0.333 0.667 0.250
Mo 0.667 0.333 0.750
O 0.000 0.000 0.250
O 0.000 0.000 0.750
O 0.333 0.667 0.133
O 0.333 0.667 0.367
O 0.667 0.333 0.633
O 0.667 0.333 0.867

V = 17.805 A^3/atom
DFT total energy = -29.31 eV per formula unit
Magnetic moment = 0.00 μB/cell
Space-group type = P6_3/mmc (194)
N(E_F) = 0.125 states/eV per atom

Entry 2:
First-principles (GGA+U) data for an optimized crystal structure of CsMoO3, as listed in the Alexandria database.

a b c (Å): 4.133 4.133 4.133
angles (deg): 90.00 90.00 90.00
Element x y z (fractional)
Cs 0.000 0.000 0.000
Mo 0.500 0.500 0.500
O 0.000 0.500 0.500
O 0.500 0.000 0.500
O 0.500 0.500 0.000

V = 14.119 A^3/atom
DFT total energy = -30.22 eV per formula unit
Magnetic moment = 1.00 μB/cell
Space-group type = Pm-3m (221)
N(E_F) = 0.236 states/eV per atom

Entry 3:
First-principles (GGA+U) data for an optimized crystal structure of CsMoO3, as listed in the Alexandria database.

a b c (Å): 8.111 8.111 8.207
angles (deg): 96.30 96.30 22.29
Element x y z (fractional)
Cs 0.168 0.168 0.255
Cs 0.832 0.832 0.745
Mo 0.403 0.403 0.265
Mo 0.597 0.597 0.735
O 0.014 0.014 0.721
O 0.159 0.159 0.634
O 0.357 0.357 0.062
O 0.643 0.643 0.938
O 0.841 0.841 0.366
O 0.986 0.986 0.279

V = 20.352 A^3/atom
DFT total energy = -30.71 eV per formula unit
Magnetic moment = 2.00 μB/cell
Space-group type = C2/m (12)
N(E_F) = 0.000 states/eV per atom

Look up the magnetic moment of the first one. 0.00 μB/cell

What is the formula in the first record? CsMoO3